#A
{
  "formula": "BaYSb2",
  "functional": "GGA-PBE",
  "state": "optimized geometry",
  "lattice": [[-3.806, 2.130, 2.889], [-3.203, -4.888, -0.617], [1.772, -1.605, 3.517]],
  "species": ["Sb", "Sb", "Ba", "Y"],
  "fractional_positions": [[0.500, 0.500, 0.000], [0.000, 0.000, 0.000], [0.000, 0.500, 0.500], [0.500, 0.000, 0.500]],
  "density_g_cm3": 5.97,
  "dos_at_fermi_per_ev_atom": 0.81
}



#B
{
  "formula": "BaYSb2",
  "functional": "GGA-PBE",
  "state": "optimized geometry",
  "lattice": [[0.000, 4.013, 4.013], [4.013, 0.000, 4.013], [4.013, 4.013, 0.000]],
  "species": ["Ba", "Sb", "Sb", "Y"],
  "fractional_positions": [[0.500, 0.500, 0.500], [0.750, 0.750, 0.750], [0.250, 0.250, 0.250], [0.000, 0.000, 0.000]],
  "density_g_cm3": 6.03,
  "dos_at_fermi_per_ev_atom": 0.75
}



Of them, the most stable is #B and the least stable is #A.



#A
{
  "formula": "OsPbCl2",
  "functional": "GGA-PBE",
  "state": "optimized geometry",
  "lattice": [[5.384, 0.001, 0.000], [1.351, 5.212, 0.000], [-3.367, -2.607, 3.295]],
  "species": ["Cl", "Cl", "Pb", "Os"],
  "fractional_positions": [[0.500, 0.500, 0.000], [0.000, 0.000, 0.000], [0.750, 0.250, 0.500], [0.250, 0.750, 0.500]],
  "density_g_cm3": 8.41,
  "dos_at_fermi_per_ev_atom": 0.50
}



#B
{
  "formula": "OsPbCl2",
  "functional": "GGA-PBE",
  "state": "optimized geometry",
  "lattice": [[5.373, -0.010, 0.000], [-1.454, 5.172, 0.000], [0.000, 0.000, 3.137]],
  "species": ["Cl", "Cl", "Os", "Pb"],
  "fractional_positions": [[0.000, 0.000, 0.000], [0.500, 0.500, 0.000], [0.500, 0.000, 0.500], [0.000, 0.500, 0.500]],
  "density_g_cm3": 8.93,
  "dos_at_fermi_per_ev_atom": 0.86
}



Of them, the most stable is #A and the least stable is #B.